This record from Alexandria describes an optimized crystal structure of InFeHg2Ge. The functional is PBE.

abc: 5.7228 5.8064 5.7228
angles: 90.00 90.00 90.00
Positions (direct):
Fe (0.5000, 0.5000, 0.5000)
Hg (0.0000, 0.0000, 0.5000)
Hg (0.5000, 0.0000, 0.0000)
In (0.0000, 0.5000, 0.0000)
Ge (0.0000, 0.0000, 0.0000)

Summary:
Calculated formation energy (eV/atom): 0.995
Final energy (eV per atom): -2.289